Computed, not measured: an optimized crystal structure of FeNi3Sn2P6O24 at the PBE with a Hubbard U level of DFT.

Cell and atoms, written as POSCAR:
```
FeNi3Sn2P6O24
1.0
4.345 2.509 6.879
-4.345 2.509 6.879
0.000 -5.017 6.879
Fe Ni Sn P O
1 3 2 6 24
Cartesian
0.000 0.000 0.000 Fe
0.000 0.000 6.117 Ni
0.000 0.000 10.376 Ni
0.000 0.000 16.427 Ni
0.000 0.000 3.101 Sn
0.000 0.000 13.414 Sn
-2.580 -0.003 8.237 P
-1.769 -2.498 11.667 P
1.293 -2.232 8.237 P
-1.279 2.781 11.667 P
1.287 2.236 8.237 P
3.048 -0.283 11.667 P
-2.575 -2.354 10.405 O
-0.677 -1.345 4.583 O
-3.540 1.270 8.439 O
-1.774 0.076 6.971 O
-2.619 -2.606 12.928 O
-0.826 1.259 4.583 O
0.670 -3.701 8.439 O
-1.780 -0.093 9.512 O
0.821 -1.574 6.971 O
1.503 0.086 4.583 O
-0.785 -1.285 11.928 O
0.970 -1.495 9.512 O
0.953 1.498 6.971 O
-1.503 -0.006 14.906 O
-0.720 1.323 11.928 O
-0.752 3.407 10.405 O
0.809 1.588 9.512 O
0.757 -1.298 14.906 O
1.505 -0.038 11.928 O
-0.947 3.571 12.928 O
3.326 -1.053 10.405 O
0.746 1.305 14.906 O
2.870 2.431 8.439 O
3.566 -0.965 12.928 O
```

Output
Total DFT energy (no corrections): -6.59 eV per atom
Total magnetic moment: 9.77 Bohr magnetons per cell
Density: 3.84 g cm⁻³